No. 1
DFT (PBEsol) results for a geometry-optimized NbCoSb structure. Values from VASP.

Structure (Quantum ESPRESSO input):
```
&SYSTEM
  ibrav = 0, nat = 3, ntyp = 3
/
ATOMIC_SPECIES
Co 58.93 Co.upf
Sb 121.76 Sb.upf
Nb 92.91 Nb.upf
CELL_PARAMETERS angstrom
-2.722 3.054 0.850
-3.691 -0.913 1.732
-0.769 1.069 3.966
ATOMIC_POSITIONS angstrom
Co -1.795 0.803 1.637
Sb -3.591 1.605 3.274
Nb 0.000 0.000 0.000
```

Electronic total energy ... -7.959 eV/atom
E_form (uncorrected) ... -0.8 eV/f.u.
Space group ... No. 216

No. 2
DFT (PBEsol) results for a geometry-optimized KTl2 structure. Values from VASP.

Structure (Quantum ESPRESSO input):
```
&SYSTEM
  ibrav = 0, nat = 12, ntyp = 2
/
ATOMIC_SPECIES
Tl 204.38 Tl.upf
K 39.10 K.upf
CELL_PARAMETERS angstrom
-3.517 3.688 0.356
-4.552 -4.617 2.860
3.482 2.410 9.435
ATOMIC_POSITIONS angstrom
Tl -2.782 -1.260 3.893
Tl 0.599 1.762 5.996
K 1.719 2.526 9.146
K -2.849 2.081 5.277
K -6.307 -1.045 3.505
Tl -0.550 0.233 10.480
Tl -1.805 2.741 8.758
Tl -0.328 1.172 2.945
K -1.739 -0.600 7.373
Tl -5.186 -0.281 6.655
Tl -4.037 1.247 2.170
Tl -4.259 0.309 9.705
```

E_form ... -47.4 meV per atom
Distance to the lowest polymorph of the same formula ... 48 meV per atom
Electronic total energy ... -2.179 eV/atom
Space group ... No. 62